1.
{
  "formula": "AlTlPb",
  "functional": "SCAN",
  "state": "PBEsol geometry",
  "dos_ef_per_ev_fu": 0.74,
  "magnetic_moment_mub_per_fu": 0.0,
  "rho_g_cm3": 8.3,
  "formation_energy_ev_per_atom": 0.39,
  "cell": [[-2.3882, 4.3700, 0.0463], [-2.3508, 1.5965, -4.0899], [-4.9772, 0.1191, -0.1249]],
  "species": ["Pb", "Tl", "Al"],
  "frac_coords": [[0.5000, 0.5000, 0.5000], [0.2500, 0.2500, 0.2500], [0.0000, 0.0000, 0.0000]]
}



2.
{
  "formula": "Al2TlPb",
  "functional": "SCAN",
  "state": "PBEsol geometry",
  "e_above_lowest_polymorph_mev_per_atom": 12.5,
  "dos_ef_per_ev_fu": 1.86,
  "magnetic_moment_mub_per_fu": 0.0,
  "rho_g_cm3": 8.2,
  "formation_energy_ev_per_atom": 0.32,
  "cell": [[3.2153, 0.0000, -0.4877], [0.0000, 4.4780, 0.0000], [-1.8202, 0.0000, 6.8187]],
  "species": ["Pb", "Tl", "Al", "Al"],
  "frac_coords": [[0.5000, 0.5000, 0.0000], [0.0000, 0.5000, 0.5000], [0.7376, 0.0000, 0.7368], [0.2624, 0.0000, 0.2632]]
}



3.
{
  "formula": "Al2PbW",
  "functional": "SCAN",
  "state": "PBEsol geometry",
  "e_above_lowest_polymorph_mev_per_atom": 157.6,
  "dos_ef_per_ev_fu": 1.71,
  "magnetic_moment_mub_per_fu": 0.0,
  "rho_g_cm3": 9.5,
  "formation_energy_ev_per_atom": 0.51,
  "cell": [[-0.2927, 1.9566, -2.1988], [1.0750, -0.6207, -2.6848], [-8.7248, -3.8310, -4.2371]],
  "species": ["Pb", "Al", "Al", "W"],
  "frac_coords": [[0.5094, 0.5094, 0.4717], [0.9949, 0.9949, 0.0153], [0.7364, 0.7364, 0.7907], [0.2592, 0.2592, 0.2223]]
}



4.
{
  "formula": "AlPb2W",
  "functional": "SCAN",
  "state": "PBEsol geometry",
  "e_above_lowest_polymorph_mev_per_atom": 472.5,
  "dos_ef_per_ev_fu": 2.16,
  "magnetic_moment_mub_per_fu": 0.0,
  "rho_g_cm3": 12.0,
  "formation_energy_ev_per_atom": 0.97,
  "cell": [[-0.6293, 2.9755, -0.3435], [-4.3833, -1.1457, -1.8939], [-2.0712, -0.9945, 5.3953]],
  "species": ["Pb", "Pb", "Al", "W"],
  "frac_coords": [[0.1276, 0.0000, 0.7576], [0.8724, 0.0000, 0.2424], [0.5000, 0.5000, 0.5000], [0.5000, 0.5000, 0.0000]]
}



5.
{
  "formula": "AlPb2W",
  "functional": "SCAN",
  "state": "PBEsol geometry",
  "e_above_lowest_polymorph_mev_per_atom": 0.0,
  "dos_ef_per_ev_fu": 2.02,
  "magnetic_moment_mub_per_fu": 0.0,
  "rho_g_cm3": 11.6,
  "formation_energy_ev_per_atom": 0.50,
  "cell": [[-0.0491, -1.1747, -2.7893], [-0.6642, -3.1270, 1.3286], [-8.3854, 1.5641, -0.5111]],
  "species": ["Pb", "Pb", "Al", "W"],
  "frac_coords": [[0.0000, 0.0000, 0.9487], [0.5000, 0.5000, 0.3082], [0.5000, 0.5000, 0.6967], [0.0000, 0.0000, 0.5465]]
}



6.
{
  "formula": "Al2PbW",
  "functional": "SCAN",
  "state": "PBEsol geometry",
  "e_above_lowest_polymorph_mev_per_atom": 147.6,
  "dos_ef_per_ev_fu": 2.19,
  "magnetic_moment_mub_per_fu": 0.0,
  "rho_g_cm3": 9.9,
  "formation_energy_ev_per_atom": 0.50,
  "cell": [[-2.5138, 1.4024, 0.8163], [-1.0572, 0.2382, -3.6649], [-3.0440, -5.7499, 0.5044]],
  "species": ["Pb", "Al", "Al", "W"],
  "frac_coords": [[0.0000, 0.0000, 0.5083], [0.0000, 0.0000, 0.9797], [0.5000, 0.5000, 0.2060], [0.5000, 0.5000, 0.8060]]
}



7.
{
  "formula": "AlPb2W",
  "functional": "SCAN",
  "state": "PBEsol geometry",
  "e_above_lowest_polymorph_mev_per_atom": 494.5,
  "dos_ef_per_ev_fu": 2.55,
  "magnetic_moment_mub_per_fu": 0.0,
  "rho_g_cm3": 12.2,
  "formation_energy_ev_per_atom": 0.99,
  "cell": [[3.0680, 0.0104, 0.0000], [-0.2408, 5.3656, 0.0000], [-1.4136, -2.6880, 5.1540]],
  "species": ["Pb", "Pb", "Al", "W"],
  "frac_coords": [[0.0000, 0.0000, 0.5000], [0.5000, 0.5000, 0.5000], [0.0000, 0.0000, 0.0000], [0.5000, 0.5000, 0.0000]]
}



8.
{
  "formula": "Al2PbW",
  "functional": "SCAN",
  "state": "PBEsol geometry",
  "e_above_lowest_polymorph_mev_per_atom": 0.0,
  "dos_ef_per_ev_fu": 3.52,
  "magnetic_moment_mub_per_fu": 0.0,
  "rho_g_cm3": 9.7,
  "formation_energy_ev_per_atom": 0.35,
  "cell": [[-1.0776, 1.1203, -2.5312], [2.1993, -1.3029, -1.5129], [-4.8842, -7.0406, -1.0366]],
  "species": ["Pb", "Al", "Al", "W"],
  "frac_coords": [[0.5000, 0.5000, 0.0000], [0.0000, 0.0000, 0.7010], [0.0000, 0.0000, 0.2990], [0.5000, 0.5000, 0.5000]]
}